Arrangement a

Entry from the Alexandria database: an optimized crystal structure of K2BaBr (PBE).

a b c (Å): 9.035 9.035 9.035
angles (deg): 97.71 97.71 137.03
Element x y z (fractional)
K 0.021 0.125 0.396
K 0.375 0.979 0.104
K 0.729 0.625 0.604
K 0.875 0.271 0.896
Ba 0.250 0.750 0.500
Ba 0.500 0.500 0.000
Br 0.000 0.000 0.000
Br 0.750 0.250 0.500

* spin magnetization: 0.00 μB per formula unit
* symmetry: No. 122

---

Arrangement b

Entry from the Alexandria database: an optimized crystal structure of K2BaBr (PBE).

a b c (Å): 12.417 12.417 12.417
angles (deg): 21.38 21.38 21.38
Element x y z (fractional)
K 0.222 0.222 0.222
K 0.778 0.778 0.778
Ba 0.000 0.000 0.000
Br 0.500 0.500 0.500

* spin magnetization: 0.01 μB per formula unit
* symmetry: No. 166

---

Arrangement c

Entry from the Alexandria database: an optimized crystal structure of K2BaBr (PBE).

a b c (Å): 5.206 5.206 7.978
angles (deg): 90.00 90.00 90.00
Element x y z (fractional)
K 0.000 0.500 0.000
K 0.500 0.000 0.000
Ba 0.000 0.000 0.500
Br 0.500 0.500 0.500

* spin magnetization: 0.22 μB per formula unit
* symmetry: No. 123

---

Arrangement d

Entry from the Alexandria database: an optimized crystal structure of K2BaBr (PBE).

a b c (Å): 4.471 4.471 12.512
angles (deg): 90.00 90.00 116.21
Element x y z (fractional)
K 0.000 0.000 0.000
K 0.500 0.500 0.312
Ba 0.000 0.000 0.621
Br 0.500 0.500 0.811

* spin magnetization: 0.00 μB per formula unit
* symmetry: No. 35

---

Most favorable structure: arrangement b. The second most favorable one is 4.3 kJ/mol of atoms above it.

---

Arrangement a

Entry from the Alexandria database: an optimized crystal structure of KBaBr2 (PBE).

a b c (Å): 4.749 4.749 6.772
angles (deg): 90.00 90.00 90.00
Element x y z (fractional)
K 0.000 0.000 0.000
Ba 0.500 0.500 0.500
Br 0.000 0.000 0.500
Br 0.500 0.500 0.000

* spin magnetization: 0.00 μB per formula unit
* symmetry: No. 123

---

Arrangement b

Entry from the Alexandria database: an optimized crystal structure of KBaBr2 (PBE).

a b c (Å): 9.278 9.278 9.278
angles (deg): 131.61 131.61 70.85
Element x y z (fractional)
K 0.000 0.000 0.000
K 0.750 0.250 0.500
Ba 0.250 0.750 0.500
Ba 0.500 0.500 0.000
Br 0.137 0.625 0.012
Br 0.375 0.387 0.512
Br 0.613 0.125 0.988
Br 0.875 0.863 0.488

* spin magnetization: 0.50 μB per formula unit
* symmetry: No. 122

---

Arrangement c

Entry from the Alexandria database: an optimized crystal structure of KBaBr2 (PBE).

a b c (Å): 5.832 5.832 5.832
angles (deg): 60.00 60.00 60.00
Element x y z (fractional)
K 0.000 0.000 0.000
Ba 0.500 0.500 0.500
Br 0.250 0.250 0.250
Br 0.750 0.750 0.750

* spin magnetization: 0.87 μB per formula unit
* symmetry: No. 225

---

Arrangement d

Entry from the Alexandria database: an optimized crystal structure of KBaBr2 (PBE).

a b c (Å): 10.160 10.160 10.160
angles (deg): 27.93 27.93 27.93
Element x y z (fractional)
K 0.000 0.000 0.000
Ba 0.500 0.500 0.500
Br 0.394 0.394 0.394
Br 0.606 0.606 0.606

* spin magnetization: 0.00 μB per formula unit
* symmetry: No. 166

---

Most favorable structure: arrangement a. The second most favorable one is 7.1 kJ/mol of atoms above it.

---

Arrangement a

Entry from the Alexandria database: an optimized crystal structure of KBaBr2 (PBE).

a b c (Å): 7.063 7.063 7.063
angles (deg): 141.97 97.57 94.62
Element x y z (fractional)
K 0.000 0.000 0.000
Ba 0.500 0.500 0.000
Br 0.263 0.763 0.500
Br 0.737 0.237 0.500

* spin magnetization: 0.00 μB per formula unit
* symmetry: No. 71

---

Arrangement b

Entry from the Alexandria database: an optimized crystal structure of KBaBr2 (PBE).

a b c (Å): 6.560 6.560 4.861
angles (deg): 93.77 93.77 90.11
Element x y z (fractional)
K 0.000 0.000 0.000
Ba 0.500 0.500 0.000
Br 0.000 0.500 0.000
Br 0.500 0.000 0.000

* spin magnetization: 0.00 μB per formula unit
* symmetry: No. 12

---

Most favorable structure: arrangement b. The second most favorable one is 3.2 kJ/mol of atoms above it.

---

Arrangement a

Entry from the Alexandria database: an optimized crystal structure of K3BaBr (PBE).

a b c (Å): 8.234 8.234 8.234
angles (deg): 90.00 90.00 90.00
Element x y z (fractional)
K 0.000 0.000 0.500
K 0.000 0.500 0.000
K 0.500 0.000 0.000
Ba 0.000 0.000 0.000
Br 0.500 0.500 0.500

* spin magnetization: 2.00 μB per formula unit
* symmetry: No. 221

---

Arrangement b

Entry from the Alexandria database: an optimized crystal structure of K3BaBr (PBE).

a b c (Å): 6.678 6.678 6.678
angles (deg): 90.00 90.00 90.00
Element x y z (fractional)
K 0.000 0.000 0.500
K 0.000 0.500 0.000
K 0.500 0.000 0.000
Ba 0.500 0.500 0.500
Br 0.000 0.000 0.000

* spin magnetization: 1.58 μB per formula unit
* symmetry: No. 221

---

Most favorable structure: arrangement b. The second most favorable one is 64.8 kJ/mol of atoms above it.

---

Arrangement a

Entry from the Alexandria database: an optimized crystal structure of K2BaBr4 (PBE).

a b c (Å): 8.622 8.622 8.419
angles (deg): 114.53 114.53 32.48
Element x y z (fractional)
K 0.207 0.207 0.191
K 0.793 0.793 0.809
Ba 0.500 0.500 0.500
Br 0.137 0.137 0.508
Br 0.381 0.381 0.084
Br 0.619 0.619 0.916
Br 0.863 0.863 0.492

* spin magnetization: 0.00 μB per formula unit
* symmetry: No. 12

---

Arrangement b

Entry from the Alexandria database: an optimized crystal structure of K2BaBr4 (PBE).

a b c (Å): 9.708 9.708 9.708
angles (deg): 142.18 142.18 54.56
Element x y z (fractional)
K 0.138 0.138 0.000
K 0.862 0.862 0.000
Ba 0.500 0.500 0.000
Br 0.000 0.500 0.500
Br 0.317 0.317 0.000
Br 0.500 0.000 0.500
Br 0.683 0.683 0.000

* spin magnetization: 0.00 μB per formula unit
* symmetry: No. 139

---

Most favorable structure: arrangement a. The second most favorable one is 9.2 kJ/mol of atoms above it.

---

Arrangement a

Entry from the Alexandria database: an optimized crystal structure of KBaSeBr2 (PBE).

a b c (Å): 6.321 6.321 6.346
angles (deg): 90.00 90.00 90.00
Element x y z (fractional)
K 0.000 0.000 0.000
Ba 0.500 0.500 0.500
Se 0.500 0.500 0.000
Br 0.000 0.500 0.500
Br 0.500 0.000 0.500

* spin magnetization: 1.01 μB per formula unit
* symmetry: No. 123

---

Arrangement b

Entry from the Alexandria database: an optimized crystal structure of KBaSeBr2 (PBE).

a b c (Å): 5.809 5.809 5.881
angles (deg): 90.00 90.00 90.00
Element x y z (fractional)
K 0.000 0.000 0.000
Ba 0.500 0.500 0.500
Se 0.000 0.000 0.500
Br 0.000 0.500 0.000
Br 0.500 0.000 0.000

* spin magnetization: 1.03 μB per formula unit
* symmetry: No. 123

---

Most favorable structure: arrangement a. The second most favorable one is 23.4 kJ/mol of atoms above it.

---

Arrangement a

Entry from the Alexandria database: an optimized crystal structure of KBaSeBr (PBE).

a b c (Å): 4.690 4.690 6.762
angles (deg): 90.00 90.00 90.00
Element x y z (fractional)
K 0.000 0.000 0.000
Ba 0.500 0.500 0.500
Se 0.000 0.000 0.500
Br 0.500 0.500 0.000

* spin magnetization: 0.00 μB per formula unit
* symmetry: No. 123

---

Arrangement b

Entry from the Alexandria database: an optimized crystal structure of KBaSeBr (PBE).

a b c (Å): 5.659 5.659 5.659
angles (deg): 60.00 60.00 60.00
Element x y z (fractional)
K 0.000 0.000 0.000
Ba 0.500 0.500 0.500
Se 0.250 0.250 0.250
Br 0.750 0.750 0.750

* spin magnetization: 0.00 μB per formula unit
* symmetry: No. 216

---

Most favorable structure: arrangement a. The second most favorable one is 12.5 kJ/mol of atoms above it.

---

Arrangement a

Entry from the Alexandria database: an optimized crystal structure of KBaTeBr (PBE).

a b c (Å): 5.888 5.888 5.888
angles (deg): 60.00 60.00 60.00
Element x y z (fractional)
K 0.000 0.000 0.000
Ba 0.500 0.500 0.500
Te 0.750 0.750 0.750
Br 0.250 0.250 0.250

* spin magnetization: 0.00 μB per formula unit
* symmetry: No. 216

---

Arrangement b

Entry from the Alexandria database: an optimized crystal structure of KBaTeBr (PBE).

a b c (Å): 8.477 8.477 8.477
angles (deg): 34.21 34.21 34.21
Element x y z (fractional)
K 0.000 0.000 0.000
Ba 0.493 0.493 0.493
Te 0.751 0.751 0.751
Br 0.242 0.242 0.242

* spin magnetization: 0.00 μB per formula unit
* symmetry: No. 160

---

Most favorable structure: arrangement b. The second most favorable one is 6.5 kJ/mol of atoms above it.

---

Arrangement a

Entry from the Alexandria database: an optimized crystal structure of BaLa2Br (PBE).

a b c (Å): 3.839 3.839 11.718
angles (deg): 90.00 90.00 116.63
Element x y z (fractional)
Ba 0.000 0.000 0.000
La 0.500 0.500 0.289
La 0.500 0.500 0.711
Br 0.000 0.000 0.500

* spin magnetization: 0.01 μB per formula unit
* symmetry: No. 65

---

Arrangement b

Entry from the Alexandria database: an optimized crystal structure of BaLa2Br (PBE).

a b c (Å): 6.103 6.103 3.811
angles (deg): 90.00 90.00 90.00
Element x y z (fractional)
Ba 0.000 0.000 0.000
La 0.000 0.500 0.500
La 0.500 0.000 0.500
Br 0.500 0.500 0.000

* spin magnetization: 0.00 μB per formula unit
* symmetry: No. 123

---

Arrangement c

Entry from the Alexandria database: an optimized crystal structure of BaLa2Br (PBE).

a b c (Å): 3.984 6.765 5.618
angles (deg): 90.00 92.64 90.00
Element x y z (fractional)
Ba 0.000 0.000 0.000
La 0.323 0.500 0.758
La 0.677 0.500 0.242
Br 0.500 0.000 0.500

* spin magnetization: 0.00 μB per formula unit
* symmetry: No. 10

---

Arrangement d

Entry from the Alexandria database: an optimized crystal structure of BaLa2Br (PBE).

a b c (Å): 7.876 7.876 3.821
angles (deg): 103.48 103.48 128.82
Element x y z (fractional)
Ba 0.000 0.000 0.000
La 0.000 0.500 0.500
La 0.500 0.000 0.500
Br 0.500 0.500 0.000

* spin magnetization: 0.00 μB per formula unit
* symmetry: No. 12

---

Most favorable structure: arrangement a. The second most favorable one is 0.8 kJ/mol of atoms above it.

---

Arrangement a

Entry from the Alexandria database: an optimized crystal structure of BaLa2Br (PBE).

a b c (Å): 8.507 8.507 8.507
angles (deg): 148.07 148.07 45.78
Element x y z (fractional)
Ba 0.000 0.000 0.000
La 0.250 0.750 0.500
La 0.750 0.250 0.500
Br 0.500 0.500 0.000

* spin magnetization: 0.00 μB per formula unit
* symmetry: No. 139

---

Arrangement b

Entry from the Alexandria database: an optimized crystal structure of BaLa2Br (PBE).

a b c (Å): 7.818 7.818 7.818
angles (deg): 152.32 137.69 51.31
Element x y z (fractional)
Ba 0.000 0.000 0.000
La 0.289 0.789 0.500
La 0.711 0.211 0.500
Br 0.500 0.500 0.000

* spin magnetization: 0.00 μB per formula unit
* symmetry: No. 71

---

Most favorable structure: arrangement b. The second most favorable one is 24.0 kJ/mol of atoms above it.

---

Arrangement a

Entry from the Alexandria database: an optimized crystal structure of BaLa2Br (PBE).

a b c (Å): 6.014 6.014 6.014
angles (deg): 60.00 60.00 60.00
Element x y z (fractional)
Ba 0.000 0.000 0.000
La 0.250 0.250 0.250
La 0.500 0.500 0.500
Br 0.750 0.750 0.750

* spin magnetization: 2.63 μB per formula unit
* symmetry: No. 216

---

Arrangement b

Entry from the Alexandria database: an optimized crystal structure of BaLa2Br (PBE).

a b c (Å): 3.858 3.858 10.647
angles (deg): 90.00 90.00 103.61
Element x y z (fractional)
Ba 0.000 0.000 0.000
La 0.000 0.000 0.451
La 0.500 0.500 0.692
Br 0.500 0.500 0.235

* spin magnetization: 0.01 μB per formula unit
* symmetry: No. 35

---

Arrangement c

Entry from the Alexandria database: an optimized crystal structure of BaLa2Br (PBE).

a b c (Å): 6.452 6.452 6.989
angles (deg): 103.67 103.67 34.52
Element x y z (fractional)
Ba 0.000 0.000 0.000
La 0.557 0.557 0.511
La 0.798 0.798 0.415
Br 0.245 0.245 0.774

* spin magnetization: 0.00 μB per formula unit
* symmetry: No. 8

---

Most favorable structure: arrangement b. The second most favorable one is 13.5 kJ/mol of atoms above it.